DFT (PBE) results for an optimized crystal structure of Th4TeSe6.

```
data_Th4TeSe6
_symmetry_space_group_name_H-M 'P -6 m 2'
_symmetry_Int_Tables_number 187
_symmetry_space_group_name_Hall 'P -6 2'
_cell_length_a 9.0029
_cell_length_b 9.0029
_cell_length_c 4.1837
_cell_angle_alpha 90.00
_cell_angle_beta 90.00
_cell_angle_gamma 120.00
loop_
_atom_site_label
_atom_site_fract_x
_atom_site_fract_y
_atom_site_fract_z
Th1 0.0000 0.0000 0.0000
Th2 0.5134 0.0268 0.5000
Te1 0.3333 0.6667 0.0000
Se1 0.1366 0.2733 0.5000
Se2 0.4094 0.2047 0.0000
```

Summary:
N(E_F), states/eV/atom: 0.274
Size of the total moment, μB/cell: 0.00
ΔE_f (raw), eV/atom: -1.673

---

DFT (PBE) results for an optimized crystal structure of ThTeSe.

```
data_ThTeSe
_symmetry_space_group_name_H-M 'P -6 m 2'
_symmetry_Int_Tables_number 187
_symmetry_space_group_name_Hall 'P -6 2'
_cell_length_a 4.9034
_cell_length_b 4.9034
_cell_length_c 4.2882
_cell_angle_alpha 90.00
_cell_angle_beta 90.00
_cell_angle_gamma 120.00
loop_
_atom_site_label
_atom_site_fract_x
_atom_site_fract_y
_atom_site_fract_z
Th1 0.0000 0.0000 0.0000
Te1 0.3333 0.6667 0.5000
Se1 0.6667 0.3333 0.0000
```

Summary:
N(E_F), states/eV/atom: 0.055
Size of the total moment, μB/cell: 0.00
Energy relative to the lowest polymorph listed for this composition, eV/atom: 0.214
ΔE_f (raw), eV/atom: -1.259

---

DFT (PBE) results for an optimized crystal structure of ThTl2TeSe4.

```
data_ThTl2TeSe4
_symmetry_space_group_name_H-M 'P 1 2/m 1'
_symmetry_Int_Tables_number 10
_symmetry_space_group_name_Hall '-P 2y'
_cell_length_a 8.357
_cell_length_b 4.199
_cell_length_c 8.743
_cell_angle_alpha 90.00
_cell_angle_beta 117.54
_cell_angle_gamma 90.00
loop_
_atom_site_label
_atom_site_fract_x
_atom_site_fract_y
_atom_site_fract_z
Th1 0.000 0.000 0.000
Tl1 0.000 0.000 0.500
Tl2 0.500 0.500 0.000
Te1 0.500 0.500 0.500
Se1 0.065 0.500 0.809
Se2 0.399 0.000 0.246
```

Summary:
N(E_F), states/eV/atom: 0.049
Size of the total moment, μB/cell: 0.00
ΔE_f (raw), eV/atom: -0.763

---

DFT (PBE) results for an optimized crystal structure of TmThTe2Se.

```
data_TmThTe2Se
_symmetry_space_group_name_H-M 'P 4/n m m'
_symmetry_Int_Tables_number 129
_cell_length_a 4.430
_cell_length_b 4.430
_cell_length_c 14.873
_cell_angle_alpha 90.00
_cell_angle_beta 90.00
_cell_angle_gamma 90.00
loop_
_symmetry_equiv_pos_as_xyz
'x,y,z'
'-x,-y,-z'
'-y+1/2,x,z'
'y+1/2,-x,-z'
'-x+1/2,-y+1/2,z'
'x+1/2,y+1/2,-z'
'y,-x+1/2,z'
'-y,x+1/2,-z'
'x+1/2,-y,-z'
'-x+1/2,y,z'
'-y,-x,-z'
'y,x,z'
'-x,y+1/2,-z'
'x,-y+1/2,z'
'y+1/2,x+1/2,-z'
'-y+1/2,-x+1/2,z'
loop_
_atom_site_label
_atom_site_fract_x
_atom_site_fract_y
_atom_site_fract_z
Tm1 0.250 0.250 0.085
Th1 0.250 0.250 0.629
Te1 0.250 0.250 0.291
Te2 0.250 0.250 0.880
Se1 0.250 0.750 0.500
```

Summary:
N(E_F), states/eV/atom: 0.368
Size of the total moment, μB/cell: 0.00
ΔE_f (raw), eV/atom: -1.318

---

DFT (PBE) results for an optimized crystal structure of YThTeSe.

```
data_YThTeSe
_symmetry_space_group_name_H-M 'R 3 m'
_symmetry_Int_Tables_number 160
_symmetry_space_group_name_Hall 'R 3 -2"'
_cell_length_a 4.0386
_cell_length_b 4.0386
_cell_length_c 23.5943
_cell_angle_alpha 90.00
_cell_angle_beta 90.00
_cell_angle_gamma 120.00
loop_
_atom_site_label
_atom_site_fract_x
_atom_site_fract_y
_atom_site_fract_z
Y1 0.0000 0.0000 0.0000
Th1 0.0000 0.0000 0.1828
Te1 0.0000 0.0000 0.7555
Se1 0.0000 0.0000 0.5959
```

Summary:
N(E_F), states/eV/atom: 0.957
Size of the total moment, μB/cell: 0.01
ΔE_f (raw), eV/atom: -1.400

---

DFT (PBE) results for an optimized crystal structure of Ti2TeSe2.

```
data_Ti2TeSe2
_symmetry_space_group_name_H-M 'P 4/m b m'
_symmetry_Int_Tables_number 127
_symmetry_space_group_name_Hall '-P 4 2ab'
_cell_length_a 7.549
_cell_length_b 7.549
_cell_length_c 3.395
_cell_angle_alpha 90.00
_cell_angle_beta 90.00
_cell_angle_gamma 90.00
loop_
_atom_site_label
_atom_site_fract_x
_atom_site_fract_y
_atom_site_fract_z
Ti1 0.137 0.363 0.000
Te1 0.000 0.000 0.000
Se1 0.139 0.639 0.500
```

Summary:
N(E_F), states/eV/atom: 0.826
Size of the total moment, μB/cell: 0.00
Energy relative to the lowest polymorph listed for this composition, eV/atom: 0.110
ΔE_f (raw), eV/atom: -0.756

---

DFT (PBE) results for an optimized crystal structure of Ti4Te5Se.

```
data_Ti4Te5Se
_symmetry_space_group_name_H-M 'C 1 2/m 1'
_symmetry_Int_Tables_number 12
_symmetry_space_group_name_Hall '-C 2y'
_cell_length_a 16.963
_cell_length_b 3.751
_cell_length_c 7.806
_cell_angle_alpha 90.00
_cell_angle_beta 102.21
_cell_angle_gamma 90.00
loop_
_atom_site_label
_atom_site_fract_x
_atom_site_fract_y
_atom_site_fract_z
Ti1 0.002 0.000 0.281
Ti2 0.150 0.500 0.573
Te1 0.000 0.500 0.000
Te2 0.164 0.000 0.838
Te3 0.173 0.000 0.323
Se1 0.000 0.500 0.500
```

Summary:
N(E_F), states/eV/atom: 0.562
Size of the total moment, μB/cell: 0.00
ΔE_f (raw), eV/atom: -0.717

---

DFT (PBE) results for an optimized crystal structure of Ti3Te2Se2.

```
data_Ti3Te2Se2
_symmetry_space_group_name_H-M 'C 1 2/m 1'
_symmetry_Int_Tables_number 12
_symmetry_space_group_name_Hall '-C 2y'
_cell_length_a 13.772
_cell_length_b 3.709
_cell_length_c 6.829
_cell_angle_alpha 90.00
_cell_angle_beta 117.34
_cell_angle_gamma 90.00
loop_
_atom_site_label
_atom_site_fract_x
_atom_site_fract_y
_atom_site_fract_z
Ti1 0.000 0.000 0.000
Ti2 0.248 0.500 0.812
Te1 0.134 0.500 0.318
Se1 0.113 0.000 0.784
```

Summary:
N(E_F), states/eV/atom: 0.779
Size of the total moment, μB/cell: 0.00
Energy relative to the lowest polymorph listed for this composition, eV/atom: 0.000
ΔE_f (raw), eV/atom: -0.960

---

DFT (PBE) results for an optimized crystal structure of Ti2TeSe3.

```
data_Ti2TeSe3
_symmetry_space_group_name_H-M 'C 1 2/m 1'
_symmetry_Int_Tables_number 12
_symmetry_space_group_name_Hall '-C 2y'
_cell_length_a 14.909
_cell_length_b 3.574
_cell_length_c 12.484
_cell_angle_alpha 90.00
_cell_angle_beta 113.53
_cell_angle_gamma 90.00
loop_
_atom_site_label
_atom_site_fract_x
_atom_site_fract_y
_atom_site_fract_z
Ti1 0.248 0.000 0.122
Ti2 0.248 0.500 0.379
Te1 0.116 0.000 0.726
Se1 0.137 0.500 0.487
Se2 0.139 0.500 0.990
Se3 0.141 0.000 0.239
```

Summary:
N(E_F), states/eV/atom: 0.322
Size of the total moment, μB/cell: 0.00
ΔE_f (raw), eV/atom: -1.017

---

DFT (PBE) results for an optimized crystal structure of TiTe2Se.

```
data_TiTe2Se
_symmetry_space_group_name_H-M 'I -4 2 d'
_symmetry_Int_Tables_number 122
_symmetry_space_group_name_Hall 'I -4 2bw'
_cell_length_a 6.640
_cell_length_b 6.640
_cell_length_c 12.423
_cell_angle_alpha 90.00
_cell_angle_beta 90.00
_cell_angle_gamma 90.00
loop_
_atom_site_label
_atom_site_fract_x
_atom_site_fract_y
_atom_site_fract_z
Ti1 0.000 0.000 0.000
Te1 0.204 0.250 0.125
Se1 0.000 0.000 0.500
```

Summary:
N(E_F), states/eV/atom: 0.834
Size of the total moment, μB/cell: 0.00
ΔE_f (raw), eV/atom: 0.083

---

DFT (PBE) results for an optimized crystal structure of TiTeSe4.

```
data_TiTeSe4
_symmetry_space_group_name_H-M 'I m m a'
_symmetry_Int_Tables_number 74
_symmetry_space_group_name_Hall '-I 2b 2'
_cell_length_a 7.359
_cell_length_b 7.924
_cell_length_c 11.094
_cell_angle_alpha 90.00
_cell_angle_beta 90.00
_cell_angle_gamma 90.00
loop_
_atom_site_label
_atom_site_fract_x
_atom_site_fract_y
_atom_site_fract_z
Ti1 0.250 0.250 0.250
Te1 0.000 0.000 0.000
Se1 0.000 0.019 0.250
Se2 0.230 0.250 0.484
```

Summary:
Size of the total moment, μB/cell: 0.00
ΔE_f (raw), eV/atom: -0.545

---

DFT (PBE) results for an optimized crystal structure of Ti3Te4Se2.

```
data_Ti3Te4Se2
_symmetry_space_group_name_H-M 'P 3 m 1'
_symmetry_Int_Tables_number 156
_symmetry_space_group_name_Hall 'P 3 -2"'
_cell_length_a 3.6569
_cell_length_b 3.6569
_cell_length_c 21.7523
_cell_angle_alpha 90.00
_cell_angle_beta 90.00
_cell_angle_gamma 120.00
loop_
_atom_site_label
_atom_site_fract_x
_atom_site_fract_y
_atom_site_fract_z
Ti1 0.0000 0.0000 0.0000
Ti2 0.0000 0.0000 0.3449
Ti3 0.6667 0.3333 0.6833
Te1 0.0000 0.0000 0.5998
Te2 0.0000 0.0000 0.7664
Te3 0.6667 0.3333 0.2617
Te4 0.6667 0.3333 0.4284
Se1 0.6667 0.3333 0.0722
Se2 0.6667 0.3333 0.9272
```

Summary:
N(E_F), states/eV/atom: 0.528
Size of the total moment, μB/cell: 0.08
ΔE_f (raw), eV/atom: -0.704